GdYCu2As4 (PBE, optimized geometry); raw total energy = -0.403 Ry per atom; V = 153 Å³/f.u.
1.0
3.928 0.000 0.000
0.000 3.928 0.000
0.000 0.000 9.919
Gd Y Cu As
1 1 2 4
Cartesian
0.000 0.000 0.000 Gd
1.964 1.964 5.213 Y
0.000 1.964 2.608 Cu
1.964 0.000 2.608 Cu
0.000 0.000 4.185 As
0.000 1.964 7.557 As
1.964 0.000 7.557 As
1.964 1.964 1.034 As

HoTmPO (PBE, optimized geometry); V = 77 Å³/f.u.; E above lowest polymorph = 0.49 eV per formula unit
1.0
4.277 0.000 0.000
0.000 4.277 0.000
0.000 0.000 8.387
Ho Tm P O
2 2 2 2
Cartesian
1.069 3.207 0.000 Ho
3.207 1.069 0.000 Ho
1.069 1.069 3.366 Tm
3.207 3.207 5.020 Tm
1.069 1.069 6.709 P
3.207 3.207 1.677 P
1.069 3.207 4.193 O
3.207 1.069 4.193 O

DyNpZn (PBE, optimized geometry); formation enthalpy at 0 K = 0.52 eV/atom; V = 81 Å³/f.u.; E above lowest polymorph = 0.00 eV per formula unit
1.0
6.862 0.000 0.000
0.000 6.862 0.000
0.000 0.000 6.862
Dy Np Zn
4 4 4
Cartesian
0.000 0.000 0.000 Dy
0.000 3.431 3.431 Dy
3.431 0.000 3.431 Dy
3.431 3.431 0.000 Dy
0.000 0.000 3.431 Np
0.000 3.431 0.000 Np
3.431 0.000 0.000 Np
3.431 3.431 3.431 Np
1.715 1.715 5.146 Zn
1.715 5.146 1.715 Zn
5.146 1.715 1.715 Zn
5.146 5.146 5.146 Zn

PrGeB (PBE, optimized geometry); V = 72 Å³/f.u.; E above lowest polymorph = 1.84 eV per formula unit
1.0
6.592 0.000 0.000
0.000 6.592 0.000
0.000 0.000 6.592
Pr Ge B
4 4 4
Cartesian
0.000 0.000 0.000 Pr
0.000 3.296 3.296 Pr
3.296 0.000 3.296 Pr
3.296 3.296 0.000 Pr
1.648 1.648 1.648 Ge
1.648 4.944 4.944 Ge
4.944 1.648 4.944 Ge
4.944 4.944 1.648 Ge
1.648 1.648 4.944 B
1.648 4.944 1.648 B
4.944 1.648 1.648 B
4.944 4.944 4.944 B

GdHo2Al3Cu2Pd (PBE, optimized geometry); raw total energy = -0.350 Ry per atom; V = 174 Å³/f.u.
1.0
4.081 0.000 0.000
0.000 6.059 3.511
0.000 -6.059 3.511
Gd Ho Al Cu Pd
1 2 3 2 1
Cartesian
0.000 0.000 0.000 Gd
0.000 -2.543 4.420 Ho
0.000 2.543 4.420 Ho
2.040 -1.462 2.113 Al
2.040 1.462 2.113 Al
2.040 0.000 4.640 Al
2.040 -4.015 2.945 Cu
2.040 4.015 2.945 Cu
0.000 0.000 2.970 Pd

NaFeTcHg (PBE, optimized geometry); V = 68 Å³/f.u.; E above lowest polymorph = 0.00 eV per formula unit
1.0
6.485 0.000 0.000
0.000 6.485 0.000
0.000 0.000 6.485
Na Fe Tc Hg
4 4 4 4
Cartesian
0.000 0.000 0.000 Na
0.000 3.242 3.242 Na
3.242 0.000 3.242 Na
3.242 3.242 0.000 Na
1.621 1.621 1.621 Fe
1.621 4.864 4.864 Fe
4.864 1.621 4.864 Fe
4.864 4.864 1.621 Fe
0.000 0.000 3.242 Tc
0.000 3.242 0.000 Tc
3.242 0.000 0.000 Tc
3.242 3.242 3.242 Tc
1.621 1.621 4.864 Hg
1.621 4.864 1.621 Hg
4.864 1.621 1.621 Hg
4.864 4.864 4.864 Hg

What is the V in the second record? 77 Å³/f.u.

Which value of V does entry 5 give? 174 Å³/f.u.

Look up the V of the third one. 81 Å³/f.u.

What is the V in the second record? 77 Å³/f.u.